<i>
Below is an optimized crystal structure of SrHfSc2, with properties calculated at the GGA-PBE level.

Values from the calculation:
density of states at the Fermi level	6.33	states/eV/f.u.
total moment	0.00	Bohr magnetons per cell

Lattice parameters (Å, degrees): 5.3664 5.3664 5.3664 60.00 60.00 60.00
With the nearest neighbours (Å) after each atom.
Positions (direct):
Sr 0.0000 0.0000 0.0000  8 Sc 3.29
Sc 0.2500 0.2500 0.2500  4 Hf 3.29, 4 Sr 3.29
Hf 0.5000 0.5000 0.5000  8 Sc 3.29
Sc 0.7500 0.7500 0.7500  4 Hf 3.29, 4 Sr 3.29

<ii>
Below is an optimized crystal structure of SrHfSc2, with properties calculated at the GGA-PBE level.

Values from the calculation:
density of states at the Fermi level	7.25	states/eV/f.u.
total moment	0.00	Bohr magnetons per cell

Lattice parameters (Å, degrees): 11.8264 11.8264 11.8264 16.25 16.25 16.25
With the nearest neighbours (Å) after each atom.
Positions (direct):
Sc 0.9036 0.9036 0.9036  3 Hf 3.13, 6 Sc 3.34, 1 Sr 3.37
Sc 0.0964 0.0964 0.0964  3 Hf 3.13, 6 Sc 3.34, 1 Sr 3.37
Sr 0.0000 0.0000 0.0000  6 Sr 3.34, 2 Sc 3.37
Hf 0.5000 0.5000 0.5000  6 Sc 3.13, 6 Hf 3.34

Most stable = <ii>